An optimized crystal structure of AlFeO3. Source: Alexandria via LeMat-Bulk, functional PBE with a Hubbard U.

Its total energy is -34.79 eV per formula unit. The calculation puts the density of states at the Fermi level at 0.0 states/eV per cell. Its total magnetization is 20.00 Bohr magnetons per cell.

The structure belongs to space group P2_1/c (No. 14); the cell edges are 6.511, 5.121 and 6.855 Å and the angles 90.00°, 112.86° and 90.00°. Symmetry generates all atoms from Al at (0.087, 0.237, 0.463), Fe at (0.313, 0.684, 0.401), O at (0.039, 0.074, 0.189), O at (0.206, 0.603, 0.093) and O at (0.370, 0.162, 0.026).